1.
## CaAs2IrBr (PBE-GGA)

Data for CaAs2IrBr after structural relaxation.

Calculated values
crystal system	tetragonal
ΔE_f (raw)	-14.7	kJ/mol of atoms
E_tot	-22.60	eV per cell
polymorph energy (0 for the lowest one)	0.000	eV/f.u.

```
CaAs2IrBr
1.0
4.7785 0.0000 0.0000
0.0000 4.7785 0.0000
0.0000 0.0000 5.6436
Ca As Ir Br
1 2 1 1
Cartesian
0.0000 0.0000 0.0000
0.0000 2.3892 2.8218
2.3892 0.0000 2.8218
2.3892 2.3892 2.8218
2.3892 2.3892 0.0000
```

---

2.
## KCaAs2Br (PBE-GGA)

Data for KCaAs2Br after structural relaxation.

Calculated values
crystal system	tetragonal
ΔE_f (raw)	30.4	kJ/mol of atoms
E_tot	-12.49	eV per cell
polymorph energy (0 for the lowest one)	3.213	eV/f.u.

```
KCaAs2Br
1.0
5.4975 0.0000 0.0000
0.0000 5.4975 0.0000
0.0000 0.0000 5.7450
K Ca As Br
1 1 2 1
Cartesian
0.0000 0.0000 0.0000
2.7487 2.7487 2.8725
0.0000 2.7487 0.0000
2.7487 0.0000 0.0000
0.0000 0.0000 2.8725
```

---

3.
## KCaAsBr2 (PBE-GGA)

Data for KCaAsBr2 after structural relaxation.

Calculated values
crystal system	tetragonal
ΔE_f (raw)	-33.7	kJ/mol of atoms
E_tot	-12.84	eV per cell
polymorph energy (0 for the lowest one)	3.484	eV/f.u.

```
KCaAsBr2
1.0
5.7511 0.0000 0.0000
0.0000 5.7511 0.0000
0.0000 0.0000 5.9891
K Ca As Br
1 1 1 2
Cartesian
0.0000 0.0000 0.0000
2.8756 2.8756 2.9945
0.0000 0.0000 2.9945
0.0000 2.8756 0.0000
2.8756 0.0000 0.0000
```

---

4.
## KCaAs2Br (PBE-GGA)

Data for KCaAs2Br after structural relaxation.

Calculated values
crystal system	tetragonal
ΔE_f (raw)	-3.8	kJ/mol of atoms
E_tot	-14.27	eV per cell
polymorph energy (0 for the lowest one)	1.437	eV/f.u.

```
KCaAs2Br
1.0
5.3997 0.0000 0.0000
0.0000 5.3997 0.0000
0.0000 0.0000 12.8075
K Ca As Br
1 1 2 1
Cartesian
0.0000 0.0000 0.0000
0.0000 0.0000 6.4037
0.0000 2.6999 6.4037
2.6999 0.0000 6.4037
2.6999 2.6999 0.0000
```

---

5.
## KCaAs2Br (PBE-GGA)

Data for KCaAs2Br after structural relaxation.

Calculated values
crystal system	tetragonal
ΔE_f (raw)	-31.6	kJ/mol of atoms
E_tot	-15.71	eV per cell
polymorph energy (0 for the lowest one)	0.000	eV/f.u.

```
KCaAs2Br
1.0
5.6607 0.0000 0.0000
0.0000 5.6607 0.0000
0.0000 0.0000 5.7998
K Ca As Br
1 1 2 1
Cartesian
0.0000 0.0000 0.0000
2.8304 2.8304 2.8999
0.0000 2.8304 2.8999
2.8304 0.0000 2.8999
2.8304 2.8304 0.0000
```

---

6.
## KCaAsBr2 (PBE-GGA)

Data for KCaAsBr2 after structural relaxation.

Calculated values
crystal system	tetragonal
ΔE_f (raw)	-101.0	kJ/mol of atoms
E_tot	-16.33	eV per cell
polymorph energy (0 for the lowest one)	0.000	eV/f.u.

```
KCaAsBr2
1.0
5.7524 0.0000 0.0000
0.0000 5.7524 0.0000
0.0000 0.0000 5.9052
K Ca As Br
1 1 1 2
Cartesian
0.0000 0.0000 0.0000
2.8762 2.8762 2.9526
2.8762 2.8762 0.0000
0.0000 2.8762 2.9526
2.8762 0.0000 2.9526
```

---

no.,ρ (g/cm3)
1,5.95
2,2.95
3,2.63
4,1.37
5,2.76
6,2.67